Entry 1:
Density functional theory data (PBE-GGA) for a relaxed BaTl3Rh crystal.

Cell and atoms, written as POSCAR:
```
BaTl3Rh
1.0
6.273 0.000 0.000
0.000 6.273 0.000
0.000 0.000 6.273
Ba Tl Rh
1 3 1
Direct
0.000 0.000 0.000
0.000 0.000 0.500
0.000 0.500 0.000
0.500 0.000 0.000
0.500 0.500 0.500
```

Values from the calculation:
As for the electronic total energy: -1.868 eV/atom. As for the space-group type: Pm-3m (221). The calculation puts the distance to the lowest polymorph of the same formula at 1627 meV per atom. The formation energy is 1.41 eV/atom. For the magnetization, the calculation gives 0.10 μB per formula unit. As for the density of states at the Fermi level: 1.77 states/eV per atom.



Entry 2:
Density functional theory data (PBE-GGA) for a relaxed BaTl2Rh2 crystal.

Cell and atoms, written as POSCAR:
```
BaTl2Rh2
1.0
8.407 0.000 0.000
0.000 8.407 0.000
0.000 0.000 3.208
Ba Tl Rh
2 4 4
Direct
0.000 0.000 0.000
0.500 0.500 0.000
0.126 0.374 0.000
0.374 0.874 0.000
0.626 0.126 0.000
0.874 0.626 0.000
0.172 0.672 0.500
0.328 0.172 0.500
0.672 0.828 0.500
0.828 0.328 0.500
```

Values from the calculation:
As for the electronic total energy: -4.257 eV/atom. As for the space-group type: P4/mbm (127). The calculation puts the distance to the lowest polymorph of the same formula at 219 meV per atom. The formation energy is 0.01 eV/atom. For the magnetization, the calculation gives 0.00 μB per formula unit. As for the density of states at the Fermi level: 0.48 states/eV per atom.



Entry 3:
Density functional theory data (PBE-GGA) for a relaxed BaTl2Rh2 crystal.

Cell and atoms, written as POSCAR:
```
BaTl2Rh2
1.0
-2.391 2.391 5.603
2.391 -2.391 5.603
2.391 2.391 -5.603
Ba Tl Rh
1 2 2
Direct
0.000 0.000 0.000
0.363 0.363 0.000
0.637 0.637 0.000
0.250 0.750 0.500
0.750 0.250 0.500
```

Values from the calculation:
As for the electronic total energy: -4.414 eV/atom. As for the space-group type: I4/mmm (139). The calculation puts the distance to the lowest polymorph of the same formula at 62 meV per atom. The formation energy is -0.14 eV/atom. For the magnetization, the calculation gives 0.00 μB per formula unit. As for the density of states at the Fermi level: 0.36 states/eV per atom.



Entry 4:
Density functional theory data (PBE-GGA) for a relaxed BaTl2Rh2 crystal.

Cell and atoms, written as POSCAR:
```
BaTl2Rh2
1.0
5.812 -2.206 0.000
5.812 2.206 0.000
-1.300 0.000 5.070
Ba Tl Rh
1 2 2
Direct
0.000 0.000 0.000
0.352 0.352 0.428
0.648 0.648 0.572
0.262 0.262 0.874
0.738 0.738 0.126
```

Values from the calculation:
As for the electronic total energy: -4.476 eV/atom. As for the space-group type: C2/m (12). The calculation puts the distance to the lowest polymorph of the same formula at 0 meV per atom. The formation energy is -0.20 eV/atom. For the magnetization, the calculation gives 0.00 μB per formula unit. As for the density of states at the Fermi level: 0.52 states/eV per atom.



Entry 5:
Density functional theory data (PBE-GGA) for a relaxed Ba2Tl4Rh crystal.

Cell and atoms, written as POSCAR:
```
Ba2Tl4Rh
1.0
-2.626 2.626 8.979
2.626 -2.626 8.979
2.626 2.626 -8.979
Ba Tl Rh
2 4 1
Direct
0.151 0.151 0.000
0.849 0.849 0.000
0.000 0.500 0.500
0.344 0.344 0.000
0.500 0.000 0.500
0.656 0.656 0.000
0.500 0.500 0.000
```

Values from the calculation:
As for the electronic total energy: -3.167 eV/atom. As for the space-group type: I4/mmm (139). The formation energy is -0.22 eV/atom. For the magnetization, the calculation gives 0.00 μB per formula unit. As for the density of states at the Fermi level: 0.96 states/eV per atom.



Entry 6:
Density functional theory data (PBE-GGA) for a relaxed Ba8Tl2Rh crystal.

Cell and atoms, written as POSCAR:
```
Ba8Tl2Rh
1.0
10.444 -3.058 0.000
10.444 3.058 0.000
-2.435 0.000 7.648
Ba Tl Rh
8 2 1
Direct
0.026 0.026 0.298
0.211 0.211 0.793
0.351 0.351 0.553
0.409 0.409 0.099
0.591 0.591 0.901
0.649 0.649 0.447
0.789 0.789 0.207
0.974 0.974 0.702
0.183 0.183 0.211
0.817 0.817 0.789
0.500 0.500 0.500
```

Values from the calculation:
As for the electronic total energy: -2.677 eV/atom. As for the space-group type: C2/m (12). The calculation puts the distance to the lowest polymorph of the same formula at 28 meV per atom. The formation energy is -0.18 eV/atom. For the magnetization, the calculation gives 0.01 μB per formula unit. As for the density of states at the Fermi level: 1.21 states/eV per atom.



Entry 7:
Density functional theory data (PBE-GGA) for a relaxed Ba6TlRh2 crystal.

Cell and atoms, written as POSCAR:
```
Ba6TlRh2
1.0
-5.354 5.597 5.925
5.354 -5.597 5.925
5.354 5.597 -5.925
Ba Tl Rh
12 2 4
Direct
0.032 0.233 0.799
0.177 0.292 0.468
0.177 0.708 0.885
0.335 0.013 0.679
0.335 0.656 0.321
0.434 0.233 0.201
0.566 0.767 0.799
0.665 0.344 0.679
0.665 0.987 0.321
0.823 0.292 0.115
0.823 0.708 0.532
0.968 0.767 0.201
0.000 0.000 0.000
0.500 0.500 0.000
0.117 0.617 0.500
0.335 0.000 0.335
0.665 0.000 0.665
0.883 0.383 0.500
```

Values from the calculation:
As for the electronic total energy: -3.375 eV/atom. As for the space-group type: Immm (71). The calculation puts the distance to the lowest polymorph of the same formula at 0 meV per atom. The formation energy is -0.20 eV/atom. For the magnetization, the calculation gives 0.00 μB per formula unit. As for the density of states at the Fermi level: 0.94 states/eV per atom.



Entry 8:
Density functional theory data (PBE-GGA) for a relaxed Ba6TlRh2 crystal.

Cell and atoms, written as POSCAR:
```
Ba6TlRh2
1.0
7.664 -3.079 0.000
7.664 3.079 0.000
-5.436 0.000 9.203
Ba Tl Rh
6 1 2
Direct
0.024 0.024 0.196
0.288 0.288 0.906
0.348 0.348 0.408
0.652 0.652 0.592
0.712 0.712 0.094
0.976 0.976 0.804
0.000 0.000 0.500
0.179 0.179 0.100
0.821 0.821 0.900
```

Values from the calculation:
As for the electronic total energy: -3.357 eV/atom. As for the space-group type: C2/m (12). The calculation puts the distance to the lowest polymorph of the same formula at 18 meV per atom. The formation energy is -0.18 eV/atom. For the magnetization, the calculation gives 0.00 μB per formula unit. As for the density of states at the Fermi level: 0.63 states/eV per atom.



Entry 9:
Density functional theory data (PBE-GGA) for a relaxed Ba8TlRh2 crystal.

Cell and atoms, written as POSCAR:
```
Ba8TlRh2
1.0
6.611 0.000 0.000
0.002 10.286 0.000
0.004 5.135 8.923
Ba Tl Rh
8 1 2
Direct
0.242 0.329 0.327
0.243 0.327 0.845
0.243 0.845 0.329
0.254 0.833 0.834
0.746 0.167 0.166
0.757 0.155 0.671
0.757 0.673 0.155
0.758 0.671 0.673
0.500 0.500 0.500
0.269 0.167 0.166
0.731 0.833 0.834
```

Values from the calculation:
As for the electronic total energy: -2.953 eV/atom. As for the space-group type: P-1 (2). The calculation puts the distance to the lowest polymorph of the same formula at 104 meV per atom. The formation energy is 0.00 eV/atom. For the magnetization, the calculation gives 0.00 μB per formula unit. As for the density of states at the Fermi level: 0.87 states/eV per atom.



Entry 10:
Density functional theory data (PBE-GGA) for a relaxed Ba3Tl2Rh2 crystal.

Cell and atoms, written as POSCAR:
```
Ba3Tl2Rh2
1.0
-2.370 2.479 10.109
2.370 -2.479 10.109
2.370 2.479 -10.109
Ba Tl Rh
3 2 2
Direct
0.000 0.000 0.000
0.176 0.676 0.500
0.824 0.324 0.500
0.367 0.867 0.500
0.633 0.133 0.500
0.438 0.438 0.000
0.562 0.562 0.000
```

Values from the calculation:
As for the electronic total energy: -3.858 eV/atom. As for the space-group type: Immm (71). The formation energy is -0.26 eV/atom. For the magnetization, the calculation gives 0.00 μB per formula unit. As for the density of states at the Fermi level: 0.87 states/eV per atom.



Entry 11:
Density functional theory data (PBE-GGA) for a relaxed BaTl2Rh2 crystal.

Cell and atoms, written as POSCAR:
```
BaTl2Rh2
1.0
-2.360 2.360 5.649
2.360 -2.360 5.649
2.360 2.360 -5.649
Ba Tl Rh
1 2 2
Direct
0.000 0.000 0.000
0.250 0.750 0.500
0.750 0.250 0.500
0.389 0.389 0.000
0.611 0.611 0.000
```

Values from the calculation:
As for the electronic total energy: -4.414 eV/atom. As for the space-group type: I4/mmm (139). The calculation puts the distance to the lowest polymorph of the same formula at 62 meV per atom. The formation energy is -0.14 eV/atom. For the magnetization, the calculation gives 0.00 μB per formula unit. As for the density of states at the Fermi level: 0.68 states/eV per atom.



Entry 12:
Density functional theory data (PBE-GGA) for a relaxed Ba12Tl6Rh crystal.

Cell and atoms, written as POSCAR:
```
Ba12Tl6Rh
1.0
7.502 4.331 4.914
-7.502 4.331 4.914
0.000 -8.662 4.914
Ba Tl Rh
12 6 1
Direct
0.014 0.691 0.945
0.055 0.986 0.309
0.182 0.436 0.581
0.309 0.055 0.986
0.419 0.818 0.564
0.436 0.581 0.182
0.564 0.419 0.818
0.581 0.182 0.436
0.691 0.945 0.014
0.818 0.564 0.419
0.945 0.014 0.691
0.986 0.309 0.055
0.133 0.637 0.298
0.298 0.133 0.637
0.363 0.702 0.867
0.637 0.298 0.133
0.702 0.867 0.363
0.867 0.363 0.702
0.000 0.000 0.000
```

Values from the calculation:
As for the electronic total energy: -2.534 eV/atom. As for the space-group type: R-3 (148). The formation energy is -0.19 eV/atom. For the magnetization, the calculation gives 0.00 μB per formula unit. As for the density of states at the Fermi level: 1.43 states/eV per atom.



Entry 13:
Density functional theory data (PBE-GGA) for a relaxed Ba5Tl2Rh crystal.

Cell and atoms, written as POSCAR:
```
Ba5Tl2Rh
1.0
10.748 0.000 0.000
0.000 14.240 0.000
0.000 0.000 4.569
Ba Tl Rh
10 4 2
Direct
0.000 0.000 0.000
0.130 0.308 0.000
0.172 0.570 0.500
0.328 0.070 0.500
0.370 0.808 0.000
0.500 0.500 0.000
0.630 0.192 0.000
0.672 0.930 0.500
0.828 0.430 0.500
0.870 0.692 0.000
0.089 0.824 0.500
0.411 0.324 0.500
0.589 0.676 0.500
0.911 0.176 0.500
0.000 0.500 0.000
0.500 0.000 0.000
```

Values from the calculation:
As for the electronic total energy: -2.994 eV/atom. As for the space-group type: Pbam (55). The formation energy is -0.28 eV/atom. For the magnetization, the calculation gives 0.00 μB per formula unit. As for the density of states at the Fermi level: 0.93 states/eV per atom.



Entry 14:
Density functional theory data (PBE-GGA) for a relaxed BaTl3Rh3 crystal.

Cell and atoms, written as POSCAR:
```
BaTl3Rh3
1.0
7.440 0.000 0.000
0.000 7.440 0.000
0.000 0.000 7.440
Ba Tl Rh
2 6 6
Direct
0.000 0.000 0.000
0.500 0.500 0.500
0.000 0.250 0.500
0.000 0.750 0.500
0.250 0.500 0.000
0.500 0.000 0.250
0.500 0.000 0.750
0.750 0.500 0.000
0.000 0.500 0.250
0.000 0.500 0.750
0.250 0.000 0.500
0.500 0.250 0.000
0.500 0.750 0.000
0.750 0.000 0.500
```

Values from the calculation:
As for the electronic total energy: -4.217 eV/atom. As for the space-group type: Pm-3n (223). The formation energy is 0.22 eV/atom. For the magnetization, the calculation gives 0.00 μB per formula unit. As for the density of states at the Fermi level: 0.62 states/eV per atom.



Entry 15:
Density functional theory data (PBE-GGA) for a relaxed BaTl3Rh crystal.

Cell and atoms, written as POSCAR:
```
BaTl3Rh
1.0
5.334 0.000 0.000
0.000 5.334 0.000
0.000 0.000 5.334
Ba Tl Rh
1 3 1
Direct
0.000 0.000 0.000
0.000 0.500 0.500
0.500 0.000 0.500
0.500 0.500 0.000
0.500 0.500 0.500
```

Values from the calculation:
As for the electronic total energy: -3.468 eV/atom. As for the space-group type: Pm-3m (221). The calculation puts the distance to the lowest polymorph of the same formula at 27 meV per atom. The formation energy is -0.19 eV/atom. For the magnetization, the calculation gives 0.00 μB per formula unit. As for the density of states at the Fermi level: 0.52 states/eV per atom.



Entry 16:
Density functional theory data (PBE-GGA) for a relaxed BaTlRh3 crystal.

Cell and atoms, written as POSCAR:
```
BaTlRh3
1.0
5.160 0.000 0.000
0.000 5.160 0.000
0.000 0.000 5.160
Ba Tl Rh
1 1 3
Direct
0.000 0.000 0.000
0.500 0.500 0.500
0.000 0.000 0.500
0.000 0.500 0.000
0.500 0.000 0.000
```

Values from the calculation:
As for the electronic total energy: -3.738 eV/atom. As for the space-group type: Pm-3m (221). The calculation puts the distance to the lowest polymorph of the same formula at 841 meV per atom. The formation energy is 1.53 eV/atom. For the magnetization, the calculation gives 1.13 μB per formula unit. As for the density of states at the Fermi level: 1.63 states/eV per atom.



Entry 17:
Density functional theory data (PBE-GGA) for a relaxed BaTlZn2Rh crystal.

Cell and atoms, written as POSCAR:
```
BaTlZn2Rh
1.0
4.980 0.000 0.000
0.000 4.980 0.000
0.000 0.000 5.232
Ba Tl Zn Rh
1 1 2 1
Direct
0.000 0.000 0.000
0.500 0.500 0.000
0.000 0.500 0.500
0.500 0.000 0.500
0.500 0.500 0.500
```

Values from the calculation:
As for the electronic total energy: -3.113 eV/atom. As for the space-group type: P4/mmm (123). The formation energy is -0.28 eV/atom. For the magnetization, the calculation gives 0.00 μB per formula unit. As for the density of states at the Fermi level: 0.64 states/eV per atom.



Entry 18:
Density functional theory data (PBE-GGA) for a relaxed BaTl2ZnRh crystal.

Cell and atoms, written as POSCAR:
```
BaTl2ZnRh
1.0
5.294 0.000 0.000
0.000 5.294 0.000
0.000 0.000 5.010
Ba Tl Zn Rh
1 2 1 1
Direct
0.000 0.000 0.000
0.000 0.500 0.500
0.500 0.000 0.500
0.500 0.500 0.000
0.500 0.500 0.500
```

Values from the calculation:
As for the electronic total energy: -3.290 eV/atom. As for the space-group type: P4/mmm (123). The formation energy is -0.23 eV/atom. For the magnetization, the calculation gives 0.00 μB per formula unit. As for the density of states at the Fermi level: 0.97 states/eV per atom.



Entry 19:
Density functional theory data (PBE-GGA) for a relaxed BaTmRh2 crystal.

Cell and atoms, written as POSCAR:
```
BaTmRh2
1.0
3.462 0.000 0.000
0.000 3.462 0.000
0.000 0.000 7.633
Ba Tm Rh
1 1 2
Direct
0.000 0.000 0.000
0.000 0.000 0.500
0.500 0.500 0.299
0.500 0.500 0.701
```

Values from the calculation:
As for the electronic total energy: -5.719 eV/atom. As for the space-group type: P4/mmm (123). The formation energy is -0.44 eV/atom. For the magnetization, the calculation gives 0.00 μB per formula unit. As for the density of states at the Fermi level: 0.67 states/eV per atom.



Entry 20:
Density functional theory data (PBE-GGA) for a relaxed BaTmRh4 crystal.

Cell and atoms, written as POSCAR:
```
BaTmRh4
1.0
0.000 3.857 3.857
3.857 0.000 3.857
3.857 3.857 0.000
Ba Tm Rh
1 1 4
Direct
0.000 0.000 0.000
0.250 0.250 0.250
0.127 0.624 0.624
0.624 0.127 0.624
0.624 0.624 0.127
0.624 0.624 0.624
```

Values from the calculation:
As for the electronic total energy: -6.315 eV/atom. As for the space-group type: F-43m (216). The formation energy is -0.35 eV/atom. For the magnetization, the calculation gives 0.00 μB per formula unit. As for the density of states at the Fermi level: 0.70 states/eV per atom.